1.
First-principles (PBE+U) data for an optimized crystal structure of Cs4CrO4, as listed in Alexandria.

## Properties
Symmetry   P4_2/nmc (137)
DOS(E_F)   0.00 states/eV/f.u.
Calculated total energy   -4.857 eV/atom
ρ   4.79 g cm⁻³

Unit cell a=6.3738 b=8.3974 c=8.3974 alpha=90.00 beta=90.00 gamma=90.00
Atoms (fractional coordinates):
O 0.6671 0.3229 0.5000
O 0.8329 0.1771 0.0000
Cr 0.0000 0.0000 0.0000
Cs 0.1286 0.7823 0.4997
O 0.1671 0.0000 0.1771
Cs 0.3714 0.2823 0.9997
O 0.3329 0.5000 0.3229
O 0.8329 0.8229 0.0000
Cs 0.3714 0.7177 0.0003
O 0.1671 0.0000 0.8229
Cr 0.5000 0.5000 0.5000
O 0.6671 0.6771 0.5000
O 0.3329 0.5000 0.6771
Cs 0.8714 0.5003 0.7823
Cs 0.6286 0.0003 0.2823
Cs 0.1286 0.2177 0.5003
Cs 0.6286 0.9997 0.7177
Cs 0.8714 0.4997 0.2177

2.
First-principles (PBE+U) data for an optimized crystal structure of CsCrO2, as listed in Alexandria.

## Properties
Symmetry   R-3m (166)
Calculated total energy   -5.656 eV/atom
ρ   2.94 g cm⁻³

Unit cell a=7.3716 b=7.3716 c=7.3716 alpha=35.78 beta=35.78 gamma=35.78
Atoms (fractional coordinates):
O 0.0832 0.0832 0.0832
Cr 0.0000 0.0000 0.0000
O 0.9168 0.9168 0.9168
Cs 0.5000 0.5000 0.5000

3.
First-principles (PBE+U) data for an optimized crystal structure of CsCr3O, as listed in Alexandria.

## Properties
Symmetry   Pm-3m (221)
DOS(E_F)   2.30 states/eV/f.u.
Calculated total energy   -5.216 eV/atom
ρ   4.36 g cm⁻³

Unit cell a=4.8781 b=4.8781 c=4.8781 alpha=90.00 beta=90.00 gamma=90.00
Atoms (fractional coordinates):
Cr 0.0000 0.5000 0.0000
O 0.0000 0.0000 0.0000
Cs 0.5000 0.5000 0.5000
Cr 0.0000 0.0000 0.5000
Cr 0.5000 0.0000 0.0000

4.
First-principles (PBE+U) data for an optimized crystal structure of Cs5CrO4, as listed in Alexandria.

## Properties
Symmetry   Pmmn (59)
DOS(E_F)   1.91 states/eV/f.u.
Calculated total energy   -4.371 eV/atom
ρ   4.39 g cm⁻³

Unit cell a=6.8848 b=10.4006 c=8.2418 alpha=90.00 beta=90.00 gamma=90.00
Atoms (fractional coordinates):
O 0.0802 0.1451 0.0000
Cs 0.7663 0.5000 0.0000
Cs 0.2507 0.3192 0.2581
Cr 0.7656 0.5000 0.5000
Cs 0.7493 0.1808 0.2419
Cs 0.2507 0.3192 0.7419
Cs 0.7493 0.8192 0.7581
Cs 0.7493 0.8192 0.2419
O 0.6128 0.5000 0.3180
O 0.9198 0.6451 0.5000
Cs 0.7493 0.1808 0.7581
O 0.9198 0.3549 0.5000
Cs 0.2337 0.0000 0.5000
Cs 0.2507 0.6808 0.2581
Cs 0.2507 0.6808 0.7419
Cr 0.2344 0.0000 0.0000
O 0.3872 0.0000 0.1820
O 0.3872 0.0000 0.8180
O 0.6128 0.5000 0.6820
O 0.0802 0.8549 0.0000

5.
First-principles (PBE+U) data for an optimized crystal structure of CsCrO2, as listed in Alexandria.

## Properties
Symmetry   R-3m (166)
DOS(E_F)   0.00 states/eV/f.u.
Calculated total energy   -5.826 eV/atom
ρ   5.56 g cm⁻³

Unit cell a=7.3608 b=7.3608 c=7.3608 alpha=25.44 beta=25.44 gamma=25.44
Atoms (fractional coordinates):
O 0.1219 0.1219 0.1219
Cr 0.5000 0.5000 0.5000
O 0.8781 0.8781 0.8781
Cs 0.0000 0.0000 0.0000

6.
First-principles (PBE+U) data for an optimized crystal structure of Cs2CrO2, as listed in Alexandria.

## Properties
Symmetry   P4/mbm (127)
DOS(E_F)   0.00 states/eV/f.u.
Calculated total energy   -4.355 eV/atom
ρ   5.38 g cm⁻³

Unit cell a=6.5536 b=6.5536 c=5.0257 alpha=90.00 beta=90.00 gamma=90.00
Atoms (fractional coordinates):
Cr 0.5000 0.5000 0.0000
Cs 0.6707 0.8293 0.5000
O 0.2950 0.7950 0.0000
Cs 0.8293 0.3293 0.5000
Cs 0.3293 0.1707 0.5000
O 0.7950 0.7050 0.0000
O 0.7050 0.2050 0.0000
Cr 0.0000 0.0000 0.0000
Cs 0.1707 0.6707 0.5000
O 0.2050 0.2950 0.0000

7.
First-principles (PBE+U) data for an optimized crystal structure of CsCrOs2O8, as listed in Alexandria.

## Properties
Symmetry   C2/m (12)
DOS(E_F)   1.20 states/eV/f.u.
Calculated total energy   -7.078 eV/atom
ρ   5.10 g cm⁻³

Unit cell a=5.1681 b=5.1681 c=8.9067 alpha=94.52 beta=94.52 gamma=72.32
Atoms (fractional coordinates):
Cr 0.0000 0.0000 0.0000
O 0.7107 0.1455 0.8397
O 0.7734 0.7734 0.0510
O 0.3794 0.3794 0.6128
O 0.1455 0.7107 0.8397
O 0.2893 0.8545 0.1603
O 0.2266 0.2266 0.9490
Os 0.3685 0.3685 0.8094
O 0.8545 0.2893 0.1603
Cs 0.0000 0.0000 0.5000
O 0.6206 0.6206 0.3872
Os 0.6315 0.6315 0.1906

8.
First-principles (PBE+U) data for an optimized crystal structure of Cs2CrOsO6, as listed in Alexandria.

## Properties
Symmetry   P-3m1 (164)
DOS(E_F)   3.94 states/eV/f.u.
Calculated total energy   -6.443 eV/atom
ρ   5.34 g cm⁻³

Unit cell a=5.0979 b=6.5242 c=6.5242 alpha=120.00 beta=90.00 gamma=90.00
Atoms (fractional coordinates):
O 0.2349 0.8668 0.7337
O 0.7651 0.1332 0.8668
O 0.7651 0.1332 0.2663
O 0.2349 0.2663 0.1332
Cr 0.5000 0.0000 0.0000
O 0.7651 0.7337 0.8668
Os 0.0000 0.0000 0.0000
O 0.2349 0.8668 0.1332
Cs 0.7428 0.6667 0.3333
Cs 0.2572 0.3333 0.6667

calculated total energy of number 5 (CsCrO2)? -5.826 eV/atom

Which formula does entry 6 have? Cs2CrO2

Which of these has the lowest calculated total energy? CsCrOs2O8